Record 1
# Li2DyHfS4

Crystalline Li2DyHfS4 at its relaxed geometry (GGA-PBE, Alexandria).

Structure (CIF):
```
data_Li2DyHfS4
_chemical_formula_sum 'Li2 Dy1 Hf1 S4'
_space_group_name_H-M_alt 'P 1'
_space_group_IT_number 1
_space_group_name_Hall 'P 1'
_cell_length_a 6.508
_cell_length_b 3.726
_cell_length_c 6.550
_cell_angle_alpha 90.00
_cell_angle_beta 109.11
_cell_angle_gamma 90.00
loop_
_atom_site_label
_atom_site_fract_x
_atom_site_fract_y
_atom_site_fract_z
Li1 0.000 0.000 0.000
Li2 0.500 0.500 0.000
Dy1 0.000 0.500 0.500
Hf1 0.500 0.000 0.500
S1 0.264 0.500 0.254
S2 0.266 0.000 0.753
S3 0.734 0.000 0.247
S4 0.736 0.500 0.746
```

Results
The formation energy (no corrections) is -1.65 eV/atom. Its symmetry is P2/m (10). Its spin magnetization is 0.000 μB per atom.

Record 2
# AcEr2Th

Crystalline AcEr2Th at its relaxed geometry (GGA-PBE, Alexandria).

Structure (CIF):
```
data_AcEr2Th
_chemical_formula_sum 'Ac1 Er2 Th1'
_space_group_name_H-M_alt 'P 1'
_space_group_IT_number 1
_space_group_name_Hall 'P 1'
_cell_length_a 12.744
_cell_length_b 12.744
_cell_length_c 12.744
_cell_angle_alpha 16.17
_cell_angle_beta 16.17
_cell_angle_gamma 16.17
loop_
_atom_site_label
_atom_site_fract_x
_atom_site_fract_y
_atom_site_fract_z
Ac1 0.000 0.000 0.000
Er1 0.094 0.094 0.094
Er2 0.906 0.906 0.906
Th1 0.500 0.500 0.500
```

Results
The energy relative to the elements is 16.4 kJ/mol of atoms. Its symmetry is R-3m (166). The value obtained for the relative energy among the computed polymorphs is 130 meV/atom. Its spin magnetization is 0.000 μB per atom.

Record 3
# Th2CuPb

Crystalline Th2CuPb at its relaxed geometry (GGA-PBE, Alexandria).

Structure (CIF):
```
data_Th2CuPb
_chemical_formula_sum 'Th2 Cu1 Pb1'
_space_group_name_H-M_alt 'P 1'
_space_group_IT_number 1
_space_group_name_Hall 'P 1'
_cell_length_a 4.948
_cell_length_b 4.948
_cell_length_c 4.380
_cell_angle_alpha 90.00
_cell_angle_beta 90.00
_cell_angle_gamma 90.00
loop_
_atom_site_label
_atom_site_fract_x
_atom_site_fract_y
_atom_site_fract_z
Th1 0.000 0.500 0.000
Th2 0.500 0.000 0.000
Cu1 0.000 0.000 0.500
Pb1 0.500 0.500 0.500
```

Results
The energy relative to the elements is -7.7 kJ/mol of atoms. Its symmetry is P4/mmm (123). Its spin magnetization is 0.000 μB per atom.

Record 4
# VCu3Se

Crystalline VCu3Se at its relaxed geometry (GGA-PBE, Alexandria).

Structure (CIF):
```
data_VCu3Se
_chemical_formula_sum 'V1 Cu3 Se1'
_space_group_name_H-M_alt 'P 1'
_space_group_IT_number 1
_space_group_name_Hall 'P 1'
_cell_length_a 4.532
_cell_length_b 4.532
_cell_length_c 4.532
_cell_angle_alpha 90.00
_cell_angle_beta 90.00
_cell_angle_gamma 90.00
loop_
_atom_site_label
_atom_site_fract_x
_atom_site_fract_y
_atom_site_fract_z
V1 0.000 0.000 0.000
Cu1 0.000 0.500 0.500
Cu2 0.500 0.000 0.500
Cu3 0.500 0.500 0.000
Se1 0.500 0.500 0.500
```

Results
The formation energy (no corrections) is 0.86 eV/atom. Its symmetry is Pm-3m (221). The value obtained for the relative energy among the computed polymorphs is 0 meV/atom. Its spin magnetization is 0.754 μB per atom.

Record 5
# Rb2H5Pd2

Crystalline Rb2H5Pd2 at its relaxed geometry (GGA-PBE, Alexandria).

Structure (CIF):
```
data_Rb2H5Pd2
_chemical_formula_sum 'Rb2 H5 Pd2'
_space_group_name_H-M_alt 'P 1'
_space_group_IT_number 1
_space_group_name_Hall 'P 1'
_cell_length_a 5.779
_cell_length_b 5.779
_cell_length_c 6.432
_cell_angle_alpha 100.59
_cell_angle_beta 100.59
_cell_angle_gamma 38.62
loop_
_atom_site_label
_atom_site_fract_x
_atom_site_fract_y
_atom_site_fract_z
Rb1 0.110 0.110 0.341
Rb2 0.890 0.890 0.659
H1 0.192 0.192 0.902
H2 0.434 0.434 0.331
H3 0.500 0.500 0.000
H4 0.566 0.566 0.669
H5 0.808 0.808 0.098
Pd1 0.346 0.346 0.089
Pd2 0.654 0.654 0.911
```

Results
The value obtained for the electronic total energy is -3.344 eV per atom. Its symmetry is C2/m (12). Its spin magnetization is 0.000 μB per atom.

Record 6
# AcLa2PrTl2

Crystalline AcLa2PrTl2 at its relaxed geometry (GGA-PBE, Alexandria).

Structure (CIF):
```
data_AcLa2PrTl2
_chemical_formula_sum 'Ac2 La4 Pr2 Tl4'
_space_group_name_H-M_alt 'P 1'
_space_group_IT_number 1
_space_group_name_Hall 'P 1'
_cell_length_a 5.346
_cell_length_b 10.667
_cell_length_c 7.196
_cell_angle_alpha 90.00
_cell_angle_beta 90.00
_cell_angle_gamma 90.00
loop_
_atom_site_label
_atom_site_fract_x
_atom_site_fract_y
_atom_site_fract_z
Ac1 0.000 0.048 0.000
Ac2 0.000 0.952 0.500
La1 0.000 0.321 0.624
La2 0.000 0.679 0.124
La3 0.500 0.446 0.872
La4 0.500 0.554 0.372
Pr1 0.500 0.198 0.273
Pr2 0.500 0.802 0.773
Tl1 0.000 0.367 0.152
Tl2 0.000 0.633 0.652
Tl3 0.500 0.129 0.726
Tl4 0.500 0.871 0.226
```

Results
The energy relative to the elements is -25.8 kJ/mol of atoms. Its symmetry is Pmc2_1 (26). Its spin magnetization is 0.000 μB per atom.

Record 7
# RbSn2GeSe6

Crystalline RbSn2GeSe6 at its relaxed geometry (GGA-PBE, Alexandria).

Structure (CIF):
```
data_RbSn2GeSe6
_chemical_formula_sum 'Rb2 Sn4 Ge2 Se12'
_space_group_name_H-M_alt 'P 1'
_space_group_IT_number 1
_space_group_name_Hall 'P 1'
_cell_length_a 10.240
_cell_length_b 10.240
_cell_length_c 7.362
_cell_angle_alpha 108.64
_cell_angle_beta 108.64
_cell_angle_gamma 83.87
loop_
_atom_site_label
_atom_site_fract_x
_atom_site_fract_y
_atom_site_fract_z
Rb1 0.117 0.883 0.750
Rb2 0.883 0.117 0.250
Sn1 0.201 0.376 0.801
Sn2 0.376 0.201 0.301
Sn3 0.624 0.799 0.699
Sn4 0.799 0.624 0.199
Ge1 0.261 0.739 0.250
Ge2 0.739 0.261 0.750
Se1 0.015 0.756 0.198
Se2 0.182 0.362 0.428
Se3 0.244 0.985 0.302
Se4 0.324 0.620 0.957
Se5 0.362 0.182 0.928
Se6 0.380 0.676 0.543
Se7 0.620 0.324 0.457
Se8 0.638 0.818 0.072
Se9 0.676 0.380 0.043
Se10 0.756 0.015 0.698
Se11 0.818 0.638 0.572
Se12 0.985 0.244 0.802
```

Results
The formation energy (no corrections) is -0.39 eV/atom. Its symmetry is C2/c (15). Its spin magnetization is 0.000 μB per atom.

Record 8
# BaHgAs2

Crystalline BaHgAs2 at its relaxed geometry (GGA-PBE, Alexandria).

Structure (CIF):
```
data_BaHgAs2
_chemical_formula_sum 'Ba1 Hg1 As2'
_space_group_name_H-M_alt 'P 1'
_space_group_IT_number 1
_space_group_name_Hall 'P 1'
_cell_length_a 6.190
_cell_length_b 6.190
_cell_length_c 5.561
_cell_angle_alpha 116.44
_cell_angle_beta 116.44
_cell_angle_gamma 38.01
loop_
_atom_site_label
_atom_site_fract_x
_atom_site_fract_y
_atom_site_fract_z
Ba1 0.000 0.000 0.000
Hg1 0.210 0.210 0.714
As1 0.449 0.449 0.446
As2 0.796 0.796 0.317
```

Results
The energy relative to the elements is -46.5 kJ/mol of atoms. Its symmetry is Cm (8). Its spin magnetization is 0.000 μB per atom.

Record 9
# Ba2Zn12Au7

Crystalline Ba2Zn12Au7 at its relaxed geometry (GGA-PBE, Alexandria).

Structure (CIF):
```
data_Ba2Zn12Au7
_chemical_formula_sum 'Ba2 Zn12 Au7'
_space_group_name_H-M_alt 'P 1'
_space_group_IT_number 1
_space_group_name_Hall 'P 1'
_cell_length_a 10.313
_cell_length_b 10.313
_cell_length_c 4.412
_cell_angle_alpha 90.00
_cell_angle_beta 90.00
_cell_angle_gamma 120.00
loop_
_atom_site_label
_atom_site_fract_x
_atom_site_fract_y
_atom_site_fract_z
Ba1 0.000 0.000 0.000
Ba2 0.333 0.667 0.500
Zn1 0.010 0.724 0.500
Zn2 0.149 0.387 0.000
Zn3 0.238 0.851 0.000
Zn4 0.276 0.287 0.500
Zn5 0.379 0.168 0.000
Zn6 0.563 0.145 0.500
Zn7 0.583 0.437 0.500
Zn8 0.613 0.762 0.000
Zn9 0.713 0.990 0.500
Zn10 0.789 0.621 0.000
Zn11 0.832 0.211 0.000
Zn12 0.855 0.417 0.500
Au1 0.023 0.565 0.000
Au2 0.255 0.005 0.500
Au3 0.435 0.458 0.000
Au4 0.542 0.977 0.000
Au5 0.667 0.333 0.000
Au6 0.749 0.745 0.500
Au7 0.995 0.251 0.500
```

Results
The energy relative to the elements is -32.1 kJ/mol of atoms. Its symmetry is P-6 (174). Its spin magnetization is 0.000 μB per atom.

Record 10
# CrSnN2

Crystalline CrSnN2 at its relaxed geometry (GGA-PBE, Alexandria).

Structure (CIF):
```
data_CrSnN2
_chemical_formula_sum 'Cr2 Sn2 N4'
_space_group_name_H-M_alt 'P 1'
_space_group_IT_number 1
_space_group_name_Hall 'P 1'
_cell_length_a 5.668
_cell_length_b 5.668
_cell_length_c 5.668
_cell_angle_alpha 125.13
_cell_angle_beta 125.13
_cell_angle_gamma 81.33
loop_
_atom_site_label
_atom_site_fract_x
_atom_site_fract_y
_atom_site_fract_z
Cr1 0.000 0.000 0.000
Cr2 0.750 0.250 0.500
Sn1 0.250 0.750 0.500
Sn2 0.500 0.500 0.000
N1 0.375 0.243 0.368
N2 0.757 0.125 0.132
N3 0.875 0.007 0.632
N4 0.993 0.625 0.868
```

Results
The formation energy (no corrections) is 0.09 eV/atom. Its symmetry is I-42d (122). Its spin magnetization is 0.001 μB per atom.

Record 11
# MgAlSe2Cl

Crystalline MgAlSe2Cl at its relaxed geometry (GGA-PBE, Alexandria).

Structure (CIF):
```
data_MgAlSe2Cl
_chemical_formula_sum 'Mg1 Al1 Se2 Cl1'
_space_group_name_H-M_alt 'P 1'
_space_group_IT_number 1
_space_group_name_Hall 'P 1'
_cell_length_a 5.465
_cell_length_b 5.465
_cell_length_c 4.505
_cell_angle_alpha 90.00
_cell_angle_beta 90.00
_cell_angle_gamma 90.00
loop_
_atom_site_label
_atom_site_fract_x
_atom_site_fract_y
_atom_site_fract_z
Mg1 0.000 0.000 0.000
Al1 0.500 0.500 0.000
Se1 0.000 0.500 0.500
Se2 0.500 0.000 0.500
Cl1 0.000 0.000 0.500
```

Results
The formation energy (no corrections) is 0.32 eV/atom. Its symmetry is P4/mmm (123). Its spin magnetization is 0.000 μB per atom.

Record 12
# NbH6Pd12

Crystalline NbH6Pd12 at its relaxed geometry (GGA-PBE, Alexandria).

Structure (CIF):
```
data_NbH6Pd12
_chemical_formula_sum 'Nb1 H6 Pd12'
_space_group_name_H-M_alt 'P 1'
_space_group_IT_number 1
_space_group_name_Hall 'P 1'
_cell_length_a 6.631
_cell_length_b 6.631
_cell_length_c 6.631
_cell_angle_alpha 109.47
_cell_angle_beta 109.47
_cell_angle_gamma 109.47
loop_
_atom_site_label
_atom_site_fract_x
_atom_site_fract_y
_atom_site_fract_z
Nb1 0.000 0.000 0.000
H1 0.139 0.359 0.522
H2 0.359 0.522 0.139
H3 0.478 0.861 0.641
H4 0.522 0.139 0.359
H5 0.641 0.478 0.861
H6 0.861 0.641 0.478
Pd1 0.121 0.306 0.816
Pd2 0.182 0.490 0.303
Pd3 0.184 0.879 0.694
Pd4 0.303 0.182 0.490
Pd5 0.306 0.816 0.121
Pd6 0.490 0.303 0.182
Pd7 0.510 0.697 0.818
Pd8 0.694 0.184 0.879
Pd9 0.697 0.818 0.510
Pd10 0.816 0.121 0.306
Pd11 0.818 0.510 0.697
Pd12 0.879 0.694 0.184
```

Results
The value obtained for the electronic total energy is -4.992 eV per atom. Its symmetry is R-3 (148). Its spin magnetization is 0.000 μB per atom.